No. 1
VASP calculation (PBE-GGA) on crystalline Hf2TaBe at its relaxed geometry.

Cell and atoms, written as POSCAR:
```
Hf2TaBe
1.0
3.153 0.000 0.000
0.000 3.153 0.000
0.000 0.000 7.274
Hf Ta Be
2 1 1
Cartesian
0.000 0.000 5.669
0.000 0.000 1.605
1.576 1.576 3.637
1.576 1.576 0.000
```

Values from the calculation:
- calculated density (kg/m³) = 12560
- total magnetization (Bohr magnetons per cell) = 0.00
- E_form (eV per atom) = 0.055
- E (eV per atom) = -8.816

No. 2
VASP calculation (PBE-GGA) on crystalline Li2CaTc3N6 at its relaxed geometry.

Cell and atoms, written as POSCAR:
```
Li2CaTc3N6
1.0
2.953 0.000 0.000
0.000 6.576 -0.097
-1.476 -2.239 6.452
Ca N Tc Li
1 6 3 2
Cartesian
1.476 0.000 0.000
1.476 -0.505 2.322
0.000 1.218 4.261
1.476 -0.450 6.418
0.000 4.787 -0.063
0.000 4.842 4.032
1.476 3.119 2.094
1.476 -0.220 4.382
0.000 4.557 1.973
1.476 3.288 -0.049
0.000 1.565 2.226
1.476 2.772 4.129
```

Values from the calculation:
- calculated density (kg/m³) = 5756
- total magnetization (Bohr magnetons per cell) = 0.00
- E_form (uncorrected) (eV per atom) = -0.29
- E (eV per atom) = -7.525

> Which of these has the lowest calculated density?

Li2CaTc3N6